# YCuI2N

A geometry-optimized YCuI2N structure (PBE, Alexandria via LeMat-Bulk).

Values from the calculation:
For the distance to the lowest polymorph of the same formula, the calculation gives 0.000 eV/atom. Its calculated total energy is -4.202 eV per atom.

a b c (Å): 6.143 6.143 4.124
angles (deg): 90.00 90.00 90.00
Element x y z (fractional)
N  0.000  0.000  0.500
I  0.000  0.500  0.000
I  0.500  0.000  0.000
Y  0.000  0.000  0.000
Cu  0.500  0.500  0.500